# 1
# Si2OsW | Alexandria | PBE | optimized geometry
data_Si2OsW
_chemical_formula_sum 'Si2 Os1 W1'
_cell_length_a 4.6147
_cell_length_b 4.6147
_cell_length_c 4.4947
_cell_angle_alpha 106.21
_cell_angle_beta 106.21
_cell_angle_gamma 37.33
_space_group_name_H-M_alt 'P 1'
_space_group_IT_number 1
_space_group_name_Hall 'P 1'
loop_
_atom_site_label
_atom_site_fract_x
_atom_site_fract_y
_atom_site_fract_z
Si1 0.0000 0.0000 0.0000
Si2 0.7488 0.7488 0.3162
Os1 0.4921 0.4921 0.4647
W1 0.2487 0.2487 0.8328
# Energy relative to the elements, uncorrected in meV/atom: -201
# Crystal system: monoclinic
# Density of states at the Fermi level in states/eV/atom: 0.382
# Energy in eV per atom: -8.96


# 2
# SiOs2W | Alexandria | PBE | optimized geometry
data_SiOs2W
_chemical_formula_sum 'Si1 Os2 W1'
_cell_length_a 2.8037
_cell_length_b 4.0163
_cell_length_c 5.3184
_cell_angle_alpha 90.00
_cell_angle_beta 105.17
_cell_angle_gamma 90.00
_space_group_name_H-M_alt 'P 1'
_space_group_IT_number 1
_space_group_name_Hall 'P 1'
loop_
_atom_site_label
_atom_site_fract_x
_atom_site_fract_y
_atom_site_fract_z
Si1 0.0000 0.0000 0.0000
Os1 0.2401 0.0000 0.4836
Os2 0.8723 0.5000 0.7486
W1 0.6098 0.5000 0.2221
# Energy relative to the elements, uncorrected in meV/atom: -3
# Crystal system: monoclinic
# Density of states at the Fermi level in states/eV/atom: 0.677
# Energy in eV per atom: -10.21


# 3
# SiOsW | Alexandria | PBE | optimized geometry
data_SiOsW
_chemical_formula_sum 'Si1 Os1 W1'
_cell_length_a 6.5492
_cell_length_b 6.3105
_cell_length_c 2.7912
_cell_angle_alpha 82.30
_cell_angle_beta 72.72
_cell_angle_gamma 24.98
_space_group_name_H-M_alt 'P 1'
_space_group_IT_number 1
_space_group_name_Hall 'P 1'
loop_
_atom_site_label
_atom_site_fract_x
_atom_site_fract_y
_atom_site_fract_z
Si1 0.0000 0.0000 0.0000
Os1 0.6535 0.6535 0.3465
W1 0.3345 0.3345 0.6655
# Energy relative to the elements, uncorrected in meV/atom: 261
# Crystal system: orthorhombic
# Density of states at the Fermi level in states/eV/atom: 0.949
# Energy in eV per atom: -9.61


# 4
# Si2OsW | Alexandria | PBE | optimized geometry
data_Si2OsW
_chemical_formula_sum 'Si2 Os1 W1'
_cell_length_a 2.8660
_cell_length_b 2.8660
_cell_length_c 8.0105
_cell_angle_alpha 90.00
_cell_angle_beta 90.00
_cell_angle_gamma 118.41
_space_group_name_H-M_alt 'P 1'
_space_group_IT_number 1
_space_group_name_Hall 'P 1'
loop_
_atom_site_label
_atom_site_fract_x
_atom_site_fract_y
_atom_site_fract_z
Si1 0.0000 0.0000 0.2423
Si2 0.0000 0.0000 0.7577
Os1 0.5000 0.5000 0.0000
W1 0.5000 0.5000 0.5000
# Energy relative to the elements, uncorrected in meV/atom: 187
# Crystal system: orthorhombic
# Density of states at the Fermi level in states/eV/atom: 0.637
# Energy in eV per atom: -8.57